{"formula": "BO", "functional": "GGA-PBE", "state": "optimized geometry", "formation_energy_uncorrected_ev_per_fu": -3.1, "space_group": "P4/m, No. 83", "lattice": [[7.5305, 0.0000, 0.0000], [0.0000, 7.5305, 0.0000], [0.0000, 0.0000, 2.6288]], "species": ["B", "B", "B", "B", "B", "B", "B", "B", "O", "O", "O", "O", "O", "O", "O", "O"], "frac_coords": [[0.0872, 0.1374, 0.0000], [0.1374, 0.9128, 0.0000], [0.2948, 0.3654, 0.5000], [0.3654, 0.7052, 0.5000], [0.6347, 0.2948, 0.5000], [0.7052, 0.6347, 0.5000], [0.8626, 0.0872, 0.0000], [0.9128, 0.8626, 0.0000], [0.1841, 0.2928, 0.0000], [0.2753, 0.5462, 0.5000], [0.2928, 0.8159, 0.0000], [0.4538, 0.2753, 0.5000], [0.5462, 0.7247, 0.5000], [0.7072, 0.1841, 0.0000], [0.7247, 0.4538, 0.5000], [0.8159, 0.7072, 0.0000]]}